# 1
Entry from the Alexandria database: crystalline Sm5ZrBi6 at its relaxed geometry (PBE).

extended XYZ file:
```
12
Lattice="7.662 -0.121 -1.447 -4.141 6.447 -1.447 0.147 0.263 7.786" Properties=species:S:1:pos:R:3 pbc="T T T"
Sm -2.037 5.449 2.446
Sm 1.834 3.295 2.446
Bi 2.718 4.884 -0.279
Zr 0.000 0.000 0.000
Sm 3.703 2.082 -1.447
Bi 2.788 0.527 1.181
Bi 0.879 6.062 3.711
Bi 4.689 3.942 3.711
Sm 5.704 1.141 2.446
Sm -0.183 4.244 -1.447
Bi 0.949 1.706 5.171
Bi -1.022 2.648 1.181
```

E	-0.1991	hartree per atom
symmetry	C2/m (12)

# 2
Entry from the Alexandria database: crystalline Sn4Bi3 at its relaxed geometry (PBE).

extended XYZ file:
```
7
Lattice="-0.303 -3.675 -2.629 -3.448 -3.642 5.490 -4.915 5.415 -3.104" Properties=species:S:1:pos:R:3 pbc="T T T"
Sn -6.861 -1.033 2.236
Bi 0.000 0.000 0.000
Sn -2.444 -1.020 1.708
Bi -3.995 0.885 -0.777
Sn -6.221 -0.882 -1.951
Bi -4.671 -2.787 0.534
Sn -1.804 -0.869 -2.478
```

E	-0.1407	hartree per atom
symmetry	C2/m (12)

# 3
Entry from the Alexandria database: crystalline Sn6Bi at its relaxed geometry (PBE).

extended XYZ file:
```
7
Lattice="7.041 0.000 0.000 -2.347 6.638 0.000 -2.347 -3.319 5.749" Properties=species:S:1:pos:R:3 pbc="T T T"
Sn 1.173 -0.830 4.312
Bi 0.000 0.000 0.000
Sn -1.173 0.830 4.312
Sn -1.173 3.319 2.874
Sn 3.520 2.489 1.437
Sn 1.173 4.149 1.437
Sn 3.520 0.000 2.874
```

E	-0.1324	hartree per atom
symmetry	Im-3m (229)

# 4
Entry from the Alexandria database: crystalline SnBi2 at its relaxed geometry (PBE).

extended XYZ file:
```
6
Lattice="-5.284 -2.774 2.710 0.612 -3.577 5.458 -2.341 2.270 5.686" Properties=species:S:1:pos:R:3 pbc="T T T"
Bi -4.383 -2.550 8.658
Bi -3.213 -3.685 5.816
Bi -1.741 -1.163 7.303
Sn -1.753 -1.020 3.463
Sn 0.000 0.000 0.000
Bi -4.689 -0.762 5.929
```

E	-0.1336	hartree per atom
symmetry	Fd-3m (227)